*P*
Here is a relaxed K2MnO4 crystal from Alexandria. Energies are from GGA+U.

Cell: 3.889 3.889 7.362 Å, 74.69 74.69 90.00°
Each line ends with the local moment (μB).
Sites, in units of the cell vectors:
1 K 0.653 0.653 0.694  0.00
2 K 0.347 0.347 0.306  0.00
3 O 0.863 0.863 0.275  0.46
4 O 0.500 0.000 0.000  0.44
5 O 0.000 0.500 0.000  0.44
6 O 0.137 0.137 0.725  0.46
7 Mn 0.000 0.000 0.000  2.81

The calculation puts the density of states at the Fermi level at 0.45 states/eV per atom. For the total magnetization, the calculation gives 5.06 μB/f.u.

*Q*
Here is a relaxed K2MnO4 crystal from Alexandria. Energies are from GGA+U.

Cell: 6.081 7.773 11.829 Å, 90.00 117.68 90.00°
Each line ends with the local moment (μB).
Sites, in units of the cell vectors:
1 K 0.524 0.494 0.299  0.00
2 K 0.812 0.331 0.079  0.00
3 K 0.812 0.169 0.579  0.00
4 K 0.524 0.006 0.799  0.00
5 K 0.476 0.994 0.201  0.00
6 K 0.476 0.506 0.701  0.00
7 K 0.188 0.831 0.421  0.00
8 K 0.188 0.669 0.921  0.00
9 O 0.138 0.731 0.165  -0.01
10 O 0.862 0.269 0.835  -0.01
11 O 0.138 0.769 0.665  -0.01
12 O 0.268 0.195 0.569  -0.01
13 O 0.791 0.982 0.075  -0.02
14 O 0.678 0.673 0.144  -0.02
15 O 0.268 0.305 0.069  -0.01
16 O 0.678 0.827 0.643  -0.02
17 O 0.322 0.173 0.357  -0.02
18 O 0.791 0.518 0.575  -0.02
19 O 0.322 0.327 0.856  -0.02
20 O 0.209 0.018 0.925  -0.02
21 O 0.732 0.695 0.931  -0.01
22 O 0.209 0.482 0.425  -0.02
23 O 0.732 0.805 0.431  -0.01
24 O 0.862 0.231 0.335  -0.01
25 Mn 0.836 0.728 0.579  1.04
26 Mn 0.164 0.272 0.421  1.04
27 Mn 0.164 0.228 0.921  1.04
28 Mn 0.836 0.772 0.079  1.04

For the total magnetization, the calculation gives 1.00 μB/f.u.

Most favorable structure: *Q*. The second most favorable one is 269 meV per atom above it.